No. 1
A plane-wave DFT calculation with GGA-PBE was carried out for AcNdGe after structural relaxation.

a = 5.2346 Å, b = 5.2346 Å, c = 5.2346 Å
α = 60.00°, β = 60.00°, γ = 60.00°
With the nearest neighbours (Å) after each atom.
Fractional coordinates of all 3 atoms:
Ac (0.0000, 0.0000, 0.0000)  4 Ge 3.21
Nd (0.5000, 0.5000, 0.5000)  4 Ge 3.21
Ge (0.7500, 0.7500, 0.7500)  4 Nd 3.21, 4 Ac 3.21

Properties
Symmetry: No. 216
Energy relative to the lowest polymorph listed for this composition: 113 meV per atom
Raw total energy: -4.95 eV/atom
Formation energy: -0.4478 eV per atom

=====

No. 2
A plane-wave DFT calculation with GGA-PBE was carried out for Ac12NdGe7 after structural relaxation.

a = 9.9501 Å, b = 9.9501 Å, c = 9.9501 Å
α = 107.56°, β = 107.56°, γ = 107.56°
With the nearest neighbours (Å) after each atom.
Fractional coordinates of all 20 atoms:
Ac (0.0410, 0.1200, 0.3468)  3 Ge 3.12-3.14
Ac (0.1200, 0.3468, 0.0410)  3 Ge 3.12-3.14
Ac (0.1922, 0.5739, 0.7259)  3 Ge 3.10-3.16
Ac (0.2741, 0.8078, 0.4261)  3 Ge 3.10-3.16
Ac (0.3468, 0.0410, 0.1200)  3 Ge 3.12-3.14
Ac (0.4261, 0.2741, 0.8078)  3 Ge 3.10-3.16
Ac (0.5739, 0.7259, 0.1922)  3 Ge 3.10-3.16
Ac (0.6532, 0.9590, 0.8800)  3 Ge 3.12-3.14
Ac (0.7259, 0.1922, 0.5739)  3 Ge 3.10-3.16
Ac (0.8078, 0.4261, 0.2741)  3 Ge 3.10-3.16
Ac (0.8800, 0.6532, 0.9590)  3 Ge 3.12-3.14
Ac (0.9590, 0.8800, 0.6532)  3 Ge 3.12-3.14
Nd (0.5000, 0.5000, 0.5000)  6 Ge 3.13
Ge (0.0000, 0.0000, 0.0000)  6 Ac 3.14
Ge (0.1555, 0.4631, 0.3850)  5 Ac 3.10-3.16, 1 Nd 3.13
Ge (0.3850, 0.1555, 0.4631)  5 Ac 3.10-3.16, 1 Nd 3.13
Ge (0.4631, 0.3850, 0.1555)  5 Ac 3.10-3.16, 1 Nd 3.13
Ge (0.5369, 0.6150, 0.8445)  5 Ac 3.10-3.16, 1 Nd 3.13
Ge (0.6150, 0.8445, 0.5369)  5 Ac 3.10-3.16, 1 Nd 3.13
Ge (0.8445, 0.5369, 0.6150)  5 Ac 3.10-3.16, 1 Nd 3.13

Properties
Symmetry: No. 148
Raw total energy: -4.73 eV/atom
Formation energy: -0.4145 eV per atom

=====

No. 3
A plane-wave DFT calculation with GGA-PBE was carried out for Ac2NdNi3Ge4 after structural relaxation.

a = 4.3593 Å, b = 4.3593 Å, c = 11.2060 Å
α = 90.00°, β = 90.00°, γ = 90.00°
With the nearest neighbours (Å) after each atom.
Fractional coordinates of all 10 atoms:
Ac (0.0000, 0.5000, 0.2222)  8 Ge 3.29-3.31, 5 Ni 3.35-3.68
Ac (0.5000, 0.0000, 0.7778)  8 Ge 3.29-3.31, 5 Ni 3.35-3.68
Nd (0.0000, 0.0000, 0.5000)  4 Ge 2.93, 4 Ni 3.08
Ni (0.0000, 0.5000, 0.8937)  5 Ge 2.45-2.48
Ni (0.5000, 0.0000, 0.1063)  5 Ge 2.45-2.48
Ni (0.5000, 0.5000, 0.5000)  4 Ge 2.93, 4 Nd 3.08
Ge (0.0000, 0.0000, 0.0000)  4 Ni 2.48
Ge (0.0000, 0.5000, 0.6748)  1 Ni 2.45
Ge (0.5000, 0.0000, 0.3252)  1 Ni 2.45
Ge (0.5000, 0.5000, 0.0000)  4 Ni 2.48

Properties
Symmetry: No. 115
Raw total energy: -5.46 eV/atom
Formation energy: -0.5762 eV per atom

=====

No. 4
A plane-wave DFT calculation with GGA-PBE was carried out for AcNdNiGe after structural relaxation.

a = 5.2538 Å, b = 5.2538 Å, c = 5.2538 Å
α = 60.00°, β = 60.00°, γ = 60.00°
With the nearest neighbours (Å) after each atom.
Fractional coordinates of all 4 atoms:
Ac (0.0000, 0.0000, 0.0000)  4 Ni 3.22, 4 Ge 3.22
Nd (0.5000, 0.5000, 0.5000)  4 Ge 3.22, 4 Ni 3.22
Ni (0.2500, 0.2500, 0.2500)  4 Nd 3.22, 4 Ac 3.22
Ge (0.7500, 0.7500, 0.7500)  4 Ac 3.22, 4 Nd 3.22

Properties
Symmetry: No. 216
Raw total energy: -5.18 eV/atom
Formation energy: -0.3614 eV per atom

=====

No. 5
A plane-wave DFT calculation with GGA-PBE was carried out for AcNd2Ni2Ge2 after structural relaxation.

a = 10.4295 Å, b = 10.4295 Å, c = 10.4295 Å
α = 24.10°, β = 24.10°, γ = 24.10°
With the nearest neighbours (Å) after each atom.
Fractional coordinates of all 7 atoms:
Ac (0.0000, 0.0000, 0.0000)  6 Ni 3.29, 6 Ge 3.36
Nd (0.1243, 0.1243, 0.1243)  3 Ge 2.95, 3 Ni 3.01
Nd (0.8757, 0.8757, 0.8757)  3 Ge 2.95, 3 Ni 3.01
Ni (0.4030, 0.4030, 0.4030)  3 Ge 2.52
Ni (0.5970, 0.5970, 0.5970)  3 Ge 2.52
Ge (0.2600, 0.2600, 0.2600)  3 Ni 2.52
Ge (0.7400, 0.7400, 0.7400)  3 Ni 2.52

Properties
Symmetry: No. 166
Raw total energy: -5.50 eV/atom
Formation energy: -0.5774 eV per atom

=====

No. 6
A plane-wave DFT calculation with GGA-PBE was carried out for Ac2Nd4Ge3O2 after structural relaxation.

a = 13.1687 Å, b = 13.1687 Å, c = 13.1687 Å
α = 159.03°, β = 159.03°, γ = 29.82°
With the nearest neighbours (Å) after each atom.
Fractional coordinates of all 11 atoms:
Ac (0.1961, 0.1961, 0.0000)  1 O 2.52
Ac (0.8039, 0.8039, 0.0000)  1 O 2.52
Nd (0.0770, 0.5770, 0.5000)  2 O 2.45
Nd (0.4230, 0.9230, 0.5000)  2 O 2.45
Nd (0.5770, 0.0770, 0.5000)  2 O 2.45
Nd (0.9230, 0.4230, 0.5000)  2 O 2.45
Ge (0.3299, 0.3299, 0.0000)  4 Nd 3.37, 5 Ac 3.41-3.45
Ge (0.5000, 0.5000, 0.0000)  8 Nd 3.10
Ge (0.6701, 0.6701, 0.0000)  4 Nd 3.37, 5 Ac 3.41-3.45
O (0.0972, 0.0972, 0.0000)  4 Nd 2.45, 1 Ac 2.52
O (0.9028, 0.9028, 0.0000)  4 Nd 2.45, 1 Ac 2.52

Properties
Symmetry: No. 139
Raw total energy: -6.14 eV/atom
Formation energy without anion corrections: -1.50 eV/atom

=====

No. 7
A plane-wave DFT calculation with GGA-PBE was carried out for AcNdGeO5 after structural relaxation.

a = 6.1665 Å, b = 6.1665 Å, c = 7.8252 Å
α = 101.20°, β = 101.20°, γ = 108.47°
With the nearest neighbours (Å) after each atom.
Fractional coordinates of all 16 atoms:
Ac (0.1612, 0.8388, 0.7500)  1 O 2.29
Ac (0.8388, 0.1612, 0.2500)  1 O 2.29
Nd (0.5000, 0.5000, 0.0000)  6 O 2.25-2.45
Nd (0.5000, 0.5000, 0.5000)  6 O 2.25-2.45
Ge (0.1796, 0.8204, 0.2500)  4 O 1.79
Ge (0.8204, 0.1796, 0.7500)  4 O 1.79
O (0.0859, 0.2240, 0.9177)  1 Ge 1.79
O (0.1623, 0.5901, 0.3613)  1 Ge 1.79
O (0.2240, 0.0859, 0.4177)  1 Ge 1.79
O (0.3896, 0.6103, 0.7500)  2 Nd 2.25, 1 Ac 2.29
O (0.4099, 0.8377, 0.1387)  1 Ge 1.79
O (0.5901, 0.1623, 0.8613)  1 Ge 1.79
O (0.6103, 0.3896, 0.2500)  2 Nd 2.25, 1 Ac 2.29
O (0.7760, 0.9141, 0.5823)  1 Ge 1.79
O (0.8377, 0.4099, 0.6387)  1 Ge 1.79
O (0.9141, 0.7760, 0.0823)  1 Ge 1.79

Properties
Symmetry: No. 15
Raw total energy: -7.55 eV/atom
Formation energy without anion corrections: -2.77 eV/atom

=====

No. 8
A plane-wave DFT calculation with GGA-PBE was carried out for AcNdGePb after structural relaxation.

a = 5.5847 Å, b = 5.5847 Å, c = 5.5847 Å
α = 60.00°, β = 60.00°, γ = 60.00°
With the nearest neighbours (Å) after each atom.
Fractional coordinates of all 4 atoms:
Ac (0.0000, 0.0000, 0.0000)  4 Ge 3.42, 4 Pb 3.42
Nd (0.5000, 0.5000, 0.5000)  4 Ge 3.42, 4 Pb 3.42
Ge (0.2500, 0.2500, 0.2500)  4 Ac 3.42, 4 Nd 3.42
Pb (0.7500, 0.7500, 0.7500)  4 Ac 3.42, 4 Nd 3.42

Properties
Symmetry: No. 216
Raw total energy: -4.73 eV/atom
Formation energy: -0.4276 eV per atom

=====

No. 9
A plane-wave DFT calculation with GGA-PBE was carried out for AcNd2Ge2Pd2 after structural relaxation.

a = 10.0304 Å, b = 10.0304 Å, c = 10.0304 Å
α = 26.35°, β = 26.35°, γ = 26.35°
With the nearest neighbours (Å) after each atom.
Fractional coordinates of all 7 atoms:
Ac (0.0000, 0.0000, 0.0000)  6 Pd 3.34, 6 Ge 3.49, 2 Nd 3.67
Nd (0.1265, 0.1265, 0.1265)  3 Ge 2.98, 3 Pd 3.10
Nd (0.8735, 0.8735, 0.8735)  3 Ge 2.98, 3 Pd 3.10
Ge (0.2545, 0.2545, 0.2545)  3 Pd 2.65
Ge (0.7455, 0.7455, 0.7455)  3 Pd 2.65
Pd (0.4037, 0.4037, 0.4037)  3 Ge 2.65
Pd (0.5963, 0.5963, 0.5963)  3 Ge 2.65

Properties
Symmetry: No. 166
Raw total energy: -5.55 eV/atom
Formation energy: -0.8005 eV per atom

=====

No. 10
A plane-wave DFT calculation with GGA-PBE was carried out for AcNdGePd after structural relaxation.

a = 4.8682 Å, b = 4.8682 Å, c = 10.5685 Å
α = 90.00°, β = 90.00°, γ = 90.00°
With the nearest neighbours (Å) after each atom.
Fractional coordinates of all 8 atoms:
Ac (0.2500, 0.2500, 0.1627)  1 Ge 3.05
Ac (0.7500, 0.7500, 0.8373)  1 Ge 3.05
Nd (0.2500, 0.7500, 0.5000)  4 Pd 2.90
Nd (0.7500, 0.2500, 0.5000)  4 Pd 2.90
Ge (0.2500, 0.2500, 0.8744)  1 Pd 2.38
Ge (0.7500, 0.7500, 0.1256)  1 Pd 2.38
Pd (0.2500, 0.2500, 0.6494)  1 Ge 2.38
Pd (0.7500, 0.7500, 0.3506)  1 Ge 2.38

Properties
Symmetry: No. 129
Energy relative to the lowest polymorph listed for this composition: 168 meV per atom
Raw total energy: -5.17 eV/atom
Formation energy: -0.5002 eV per atom

=====

No. 11
A plane-wave DFT calculation with GGA-PBE was carried out for AcNdGePd after structural relaxation.

a = 5.3273 Å, b = 5.3273 Å, c = 5.3273 Å
α = 60.00°, β = 60.00°, γ = 60.00°
With the nearest neighbours (Å) after each atom.
Fractional coordinates of all 4 atoms:
Ac (0.0000, 0.0000, 0.0000)  4 Ge 3.26, 4 Pd 3.26
Nd (0.5000, 0.5000, 0.5000)  4 Ge 3.26, 4 Pd 3.26
Ge (0.7500, 0.7500, 0.7500)  4 Nd 3.26, 4 Ac 3.26
Pd (0.2500, 0.2500, 0.2500)  4 Nd 3.26, 4 Ac 3.26

Properties
Symmetry: No. 216
Energy relative to the lowest polymorph listed for this composition: 0 meV per atom
Raw total energy: -5.34 eV/atom
Formation energy: -0.6679 eV per atom

=====

No. 12
A plane-wave DFT calculation with GGA-PBE was carried out for Ac2NdGe3Pd4 after structural relaxation.

a = 4.4492 Å, b = 4.4492 Å, c = 11.4064 Å
α = 90.00°, β = 90.00°, γ = 90.00°
With the nearest neighbours (Å) after each atom.
Fractional coordinates of all 10 atoms:
Ac (0.0000, 0.5000, 0.2245)  4 Ge 3.39, 8 Pd 3.39-3.40
Ac (0.5000, 0.0000, 0.7755)  4 Ge 3.39, 8 Pd 3.39-3.40
Nd (0.0000, 0.0000, 0.5000)  4 Pd 2.90, 4 Ge 3.15
Ge (0.0000, 0.5000, 0.8851)  5 Pd 2.54-2.58
Ge (0.5000, 0.0000, 0.1149)  5 Pd 2.54-2.58
Ge (0.5000, 0.5000, 0.5000)  4 Pd 2.90, 4 Nd 3.15
Pd (0.0000, 0.0000, 0.0000)  4 Ge 2.58
Pd (0.0000, 0.5000, 0.6629)  1 Ge 2.54
Pd (0.5000, 0.0000, 0.3371)  1 Ge 2.54
Pd (0.5000, 0.5000, 0.0000)  4 Ge 2.58

Properties
Symmetry: No. 115
Raw total energy: -5.58 eV/atom
Formation energy: -0.8237 eV per atom